Material: LiCeSbAu
Method: DFT, GGA-PBE
State: optimized geometry

a = 5.1272 Å, b = 5.1272 Å, c = 5.1272 Å
α = 60.00°, β = 60.00°, γ = 60.00°
Closest atoms and distances in Å follow each position.
Atoms (fractional coordinates):
Sb: 0.5000 0.5000 0.5000  4 Ce 3.14, 4 Li 3.14
Au: 0.0000 0.0000 0.0000  4 Ce 3.14, 4 Li 3.14
Ce: 0.7500 0.7500 0.7500  4 Sb 3.14, 4 Au 3.14
Li: 0.2500 0.2500 0.2500  4 Sb 3.14, 4 Au 3.14

Calculated values
Final energy: -4.508 eV/atom

Material: CaInNO2
Method: DFT, GGA-PBE
State: optimized geometry

a = 4.2432 Å, b = 4.2432 Å, c = 4.1879 Å
α = 90.00°, β = 90.00°, γ = 90.00°
Closest atoms and distances in Å follow each position.
Atoms (fractional coordinates):
Ca: 0.5000 0.5000 0.5000  8 O 2.98, 4 N 3.00
N: 0.0000 0.0000 0.5000  2 In 2.09
O: 0.0000 0.5000 0.0000  2 In 2.12
O: 0.5000 0.0000 0.0000  2 In 2.12
In: 0.0000 0.0000 0.0000  2 N 2.09, 4 O 2.12

Calculated values
Final energy: -5.274 eV/atom

Material: Ta2FeSb
Method: DFT, GGA-PBE
State: optimized geometry

a = 3.0186 Å, b = 3.0186 Å, c = 7.6308 Å
α = 90.00°, β = 90.00°, γ = 90.00°
Closest atoms and distances in Å follow each position.
Atoms (fractional coordinates):
Fe: 0.5000 0.5000 0.2500  8 Ta 2.65
Sb: 0.5000 0.5000 0.7500  4 Sb 3.02, 8 Ta 3.10
Ta: 0.0000 0.0000 0.0442  4 Fe 2.65
Ta: 0.0000 0.0000 0.4558  4 Fe 2.65

Calculated values
Final energy: -8.903 eV/atom

Material: Tb4Nd2N
Method: DFT, GGA-PBE
State: optimized geometry

a = 4.8321 Å, b = 4.8321 Å, c = 9.5669 Å
α = 75.37°, β = 75.37°, γ = 90.00°
Closest atoms and distances in Å follow each position.
Atoms (fractional coordinates):
Nd: 0.6725 0.6725 0.6551  5 Tb 3.50-3.51
Nd: 0.3275 0.3275 0.3449  5 Tb 3.50-3.51
Tb: 0.8689 0.8689 0.2622  1 N 2.34
Tb: 0.1311 0.1311 0.7378  1 N 2.34
Tb: 0.0000 0.5000 0.0000  2 N 2.42
Tb: 0.5000 0.0000 0.0000  2 N 2.42
N: 0.0000 0.0000 0.0000  6 Tb 2.34-2.42

Calculated values
Final energy: -5.483 eV/atom

Material: Ba2Fe
Method: DFT, GGA-PBE
State: optimized geometry

a = 15.4897 Å, b = 15.4897 Å, c = 4.2609 Å
α = 90.00°, β = 90.00°, γ = 164.40°
Closest atoms and distances in Å follow each position.
Atoms (fractional coordinates):
Ba: 0.6948 0.3052 0.7500  10 Ba 4.20-4.52
Ba: 0.4344 0.5656 0.7500  6 Fe 3.28-3.35
Ba: 0.3052 0.6948 0.2500  10 Ba 4.20-4.52
Ba: 0.5656 0.4344 0.2500  6 Fe 3.28-3.35
Fe: 0.0165 0.9835 0.7500  2 Fe 2.36
Fe: 0.9835 0.0165 0.2500  2 Fe 2.36

Calculated values
Energy of formation: 0.439 eV per atom

Material: Dy3TlRh
Method: DFT, GGA-PBE
State: optimized geometry

a = 4.8435 Å, b = 7.2478 Å, c = 14.9433 Å
α = 90.00°, β = 90.00°, γ = 90.00°
Closest atoms and distances in Å follow each position.
Atoms (fractional coordinates):
Dy: 0.2500 0.3650 0.5430  3 Rh 2.94-2.97, 2 Tl 3.17
Dy: 0.7500 0.8030 0.2240  1 Rh 2.73
Dy: 0.7500 0.4899 0.8998  3 Rh 2.76-3.00
Dy: 0.7500 0.9899 0.6002  3 Rh 2.76-3.00
Dy: 0.7500 0.6350 0.4570  3 Rh 2.94-2.97, 2 Tl 3.17
Dy: 0.2500 0.0101 0.3998  3 Rh 2.76-3.00
Dy: 0.2500 0.8650 0.9570  3 Rh 2.94-2.97, 2 Tl 3.17
Dy: 0.7500 0.3030 0.2760  1 Rh 2.73
Dy: 0.2500 0.6970 0.7240  1 Rh 2.73
Dy: 0.2500 0.1970 0.7760  1 Rh 2.73
Dy: 0.7500 0.1350 0.0430  3 Rh 2.94-2.97, 2 Tl 3.17
Dy: 0.2500 0.5101 0.1002  3 Rh 2.76-3.00
Tl: 0.7500 0.9251 0.8234  8 Dy 3.17-3.37
Tl: 0.2500 0.0749 0.1766  8 Dy 3.17-3.37
Tl: 0.7500 0.4251 0.6766  8 Dy 3.17-3.37
Tl: 0.2500 0.5749 0.3234  8 Dy 3.17-3.37
Rh: 0.2500 0.2742 0.9548  7 Dy 2.73-3.00
Rh: 0.2500 0.7742 0.5452  7 Dy 2.73-3.00
Rh: 0.7500 0.2258 0.4548  7 Dy 2.73-3.00
Rh: 0.7500 0.7258 0.0452  7 Dy 2.73-3.00

Calculated values
Energy of formation: -0.532 eV per atom

Material: CsSr2ScI8
Method: DFT, GGA-PBE
State: optimized geometry

a = 7.6991 Å, b = 7.4039 Å, c = 10.2343 Å
α = 89.91°, β = 89.93°, γ = 89.17°
Closest atoms and distances in Å follow each position.
Atoms (fractional coordinates):
Cs: 0.0000 0.0000 0.5000  6 I 3.64-3.73
Sr: 0.5002 0.5000 0.7563  6 I 3.27-3.46
Sr: 0.4998 0.5000 0.2437  6 I 3.27-3.46
Sc: 0.0000 0.0000 0.0000  6 I 2.88-3.05
I: 0.1534 0.7688 0.1962  1 Sc 2.88
I: 0.6822 0.7598 0.9997  1 Sc 3.05
I: 0.8452 0.2300 0.1960  1 Sc 2.88
I: 0.8466 0.2312 0.8038  1 Sc 2.88
I: 0.3178 0.2402 0.0003  1 Sc 3.05
I: 0.1548 0.7700 0.8040  1 Sc 2.88
I: 0.6033 0.7394 0.4996  2 Sr 3.27, 1 Cs 3.64
I: 0.3967 0.2606 0.5004  2 Sr 3.27, 1 Cs 3.64

Calculated values
Final energy: -3.367 eV/atom

Material: FeRh2Br
Method: DFT, GGA-PBE
State: optimized geometry

a = 4.5000 Å, b = 4.5000 Å, c = 6.4162 Å
α = 80.54°, β = 80.54°, γ = 38.05°
Closest atoms and distances in Å follow each position.
Atoms (fractional coordinates):
Br: 0.6127 0.6127 0.4821  2 Fe 2.50, 1 Rh 2.61
Fe: 0.2248 0.2248 0.1766  2 Br 2.50, 5 Rh 2.58-2.74
Rh: 0.9580 0.9580 0.9914  3 Rh 2.48-2.59, 3 Fe 2.58-2.74
Rh: 0.7045 0.7045 0.8499  3 Rh 2.48-2.59, 2 Fe 2.59, 1 Br 2.61

Calculated values
Final energy: -5.762 eV/atom

Material: Hg2SbPb2
Method: DFT, GGA-PBE
State: optimized geometry

a = 7.9098 Å, b = 7.9098 Å, c = 4.6520 Å
α = 90.00°, β = 90.00°, γ = 90.00°
Closest atoms and distances in Å follow each position.
Atoms (fractional coordinates):
Pb: 0.1728 0.6728 0.5000  6 Hg 3.18-3.37
Pb: 0.6728 0.8272 0.5000  6 Hg 3.18-3.37
Pb: 0.8272 0.3272 0.5000  6 Hg 3.18-3.37
Pb: 0.3272 0.1728 0.5000  6 Hg 3.18-3.37
Sb: 0.0000 0.0000 0.0000  4 Hg 3.08
Sb: 0.5000 0.5000 0.0000  4 Hg 3.08
Hg: 0.3664 0.8664 0.0000  1 Hg 2.99, 2 Sb 3.08, 2 Pb 3.18
Hg: 0.8664 0.6336 0.0000  1 Hg 2.99, 2 Sb 3.08, 2 Pb 3.18
Hg: 0.6336 0.1336 0.0000  1 Hg 2.99, 2 Sb 3.08, 2 Pb 3.18
Hg: 0.1336 0.3664 0.0000  1 Hg 2.99, 2 Sb 3.08, 2 Pb 3.18

Calculated values
Final energy: -2.346 eV/atom

Material: RbAcAg
Method: DFT, GGA-PBE
State: optimized geometry

a = 4.2316 Å, b = 4.2316 Å, c = 15.0814 Å
α = 90.32°, β = 90.32°, γ = 90.00°
Closest atoms and distances in Å follow each position.
Atoms (fractional coordinates):
Rb: 0.7433 0.7433 0.6453  4 Ag 3.97, 1 Ac 4.07, 4 Rb 4.23
Rb: 0.2567 0.2567 0.3547  4 Ag 3.97, 1 Ac 4.07, 4 Rb 4.23
Ac: 0.7481 0.7481 0.9151  4 Ag 3.33
Ac: 0.2519 0.2519 0.0849  4 Ag 3.33
Ag: 0.2460 0.2460 0.8183  4 Ac 3.33
Ag: 0.7540 0.7540 0.1817  4 Ac 3.33

Calculated values
Energy of formation: -0.045 eV per atom

Material: Co2MoAu
Method: DFT, GGA-PBE
State: optimized geometry

a = 4.2438 Å, b = 2.6386 Å, c = 5.1255 Å
α = 84.65°, β = 90.00°, γ = 90.00°
Closest atoms and distances in Å follow each position.
Atoms (fractional coordinates):
Au: 0.5000 0.7500 0.7500  2 Au 2.64, 4 Co 2.70, 2 Mo 2.77
Co: 0.0000 0.0113 0.0339  4 Co 2.50-2.65, 2 Mo 2.50, 2 Au 2.70
Co: 0.0000 0.4887 0.4661  4 Co 2.50-2.65, 2 Mo 2.50, 2 Au 2.70
Mo: 0.5000 0.2500 0.2500  4 Co 2.50, 2 Mo 2.64, 2 Au 2.77

Calculated values
Energy of formation: 0.339 eV per atom